one) # SrAuNO

A relaxed SrAuNO crystal (PBE, OQMD via LeMat-Bulk).

## Properties
* density: 8.58 g cm⁻³

Geometry as POSCAR:
```
SrAuNO
1.0
-2.505 4.142 1.699
-4.466 -2.174 -1.284
-0.285 -1.899 4.209
Au N Sr O
2 2 2 2
direct
0.750 0.750 0.001
0.250 0.250 0.999
0.750 0.750 0.495
0.250 0.250 0.505
0.250 0.750 0.500
0.750 0.250 0.500
0.250 0.750 0.000
0.750 0.250 0.000
```


two) # SrAuNO

A relaxed SrAuNO crystal (PBE, OQMD via LeMat-Bulk).

## Properties
* density: 8.39 g cm⁻³

Geometry as POSCAR:
```
SrAuNO
1.0
-3.035 -0.663 -2.329
1.729 -4.104 -1.086
-3.472 -2.877 5.345
N O Au Sr
2 2 2 2
direct
0.746 0.000 0.187
0.254 0.000 0.687
0.495 0.500 0.939
0.505 0.500 0.439
0.501 0.000 0.437
0.499 0.000 0.937
0.976 0.500 0.692
0.024 0.500 0.192
```


Relative energies, unit meV/atom: one) 416; two) 0